Here is an optimized crystal structure of Sm5HoMg6 from the Alexandria database. Energies are from PBE.

POSCAR file:
```
Sm5HoMg6
1.0
-1.554 2.426 4.596
-4.581 -5.938 1.586
5.320 -2.425 6.284
Mg Ho Sm
6 1 5
Direct
0.835 0.753 0.331
0.835 0.247 0.331
0.500 0.249 0.000
0.500 0.751 0.000
0.165 0.753 0.669
0.165 0.247 0.669
0.000 0.000 0.000
0.668 0.500 0.664
0.335 0.000 0.331
0.000 0.500 0.000
0.665 0.000 0.669
0.332 0.500 0.336
```

Values from the calculation:
Calculated total energy = -3.242 eV/atom
Symmetry = Cmmm (65)
Total magnetic moment = 0.0 μB per formula unit
Formation energy = -1.2 eV/f.u.

Here is an optimized crystal structure of NdCdAu2 from the Alexandria database. Energies are from PBE.

POSCAR file:
```
NdCdAu2
1.0
-0.849 4.912 -0.446
-4.033 1.624 -2.478
-3.835 2.123 2.574
Nd Au Cd
1 2 1
Direct
0.250 0.250 0.250
0.004 0.004 0.987
0.496 0.496 0.513
0.750 0.750 0.750
```

Values from the calculation:
Calculated total energy = -3.694 eV/atom
Symmetry = C2/m (12)
Total magnetic moment = 0.0 μB per formula unit
Formation energy = -2.5 eV/f.u.

> The highest calculated total energy belongs to which entry?

Sm5HoMg6